[1]
Density functional theory data (PBE-GGA) for BaTc3Ni after structural relaxation.

Computed properties:
Total magnetic moment, μB/f.u.: 0.5
SG: Pm-3m, No. 221

Structure (POSCAR):
```
BaTc3Ni
1.0
-3.214 0.786 -3.309
-2.983 -2.838 2.223
-1.634 3.636 2.450
Ni Ba Tc
1 1 3
direct
0.000 0.000 0.000
0.500 0.500 0.500
0.000 0.500 0.000
0.000 0.000 0.500
0.500 0.000 0.000
```

=====

[2]
Density functional theory data (PBE-GGA) for BaTcNi2 after structural relaxation.

Computed properties:
Total magnetic moment, μB/f.u.: 0.0
SG: R3m, No. 160

Structure (POSCAR):
```
BaTcNi2
1.0
-0.720 4.110 -0.260
-3.906 1.411 -0.477
-2.147 2.097 5.445
Ba Ni Tc
1 2 1
direct
0.253 0.253 0.241
0.068 0.068 0.796
0.743 0.743 0.770
0.436 0.436 0.693
```

=====

[3]
Density functional theory data (PBE-GGA) for BaTc2Ni after structural relaxation.

Computed properties:
Total magnetic moment, μB/f.u.: 0.0
SG: Fm-3m, No. 225

Structure (POSCAR):
```
BaTc2Ni
1.0
0.000 3.275 3.275
3.275 0.000 3.275
3.275 3.275 0.000
Ni Ba Tc
1 1 2
direct
0.000 0.000 0.000
0.500 0.500 0.500
0.250 0.250 0.250
0.750 0.750 0.750
```

=====

[4]
Density functional theory data (PBE-GGA) for BaTcNi2 after structural relaxation.

Computed properties:
Total magnetic moment, μB/f.u.: 0.3
SG: Pmmm, No. 47

Structure (POSCAR):
```
BaTcNi2
1.0
2.970 0.000 0.000
0.000 3.422 0.000
0.000 0.000 7.285
Ba Ni Tc
1 2 1
direct
0.500 0.500 0.750
0.000 0.000 0.085
0.000 0.000 0.415
0.500 0.500 0.250
```

=====

Taking the records one at a time from the top gives Fermi-level density of states values of 2.811, 0.990, 1.506, 1.204 states/eV per atom.
Taking the records one at a time from the top gives calculated density values of 7.945, 6.754, 9.266, 7.911 g cm⁻³.
Taking the records one at a time from the top gives energy of formation values of 7.15, 0.88, 5.34, 1.75 eV per formula unit.